An optimized crystal structure of Mg4Si3, computed with GGA-PBE.

Unit cell a=6.293 b=7.427 c=12.201 alpha=86.51 beta=89.44 gamma=78.68
Sites, in units of the cell vectors:
Mg  0.787  0.793  0.683
Mg  0.669  0.054  0.071
Mg  0.399  0.075  0.801
Mg  0.007  0.455  0.307
Mg  0.737  0.176  0.324
Mg  0.540  0.521  0.874
Mg  0.320  0.701  0.298
Mg  0.871  0.135  0.817
Mg  0.316  0.701  0.613
Mg  0.101  0.626  0.060
Mg  0.086  0.257  0.591
Mg  0.064  0.472  0.811
Mg  0.645  0.567  0.119
Mg  0.602  0.155  0.579
Mg  0.299  0.073  0.382
Mg  0.136  0.050  0.146
Si  0.303  0.286  0.988
Si  0.720  0.450  0.675
Si  0.383  0.839  0.989
Si  0.696  0.501  0.475
Si  0.159  0.807  0.832
Si  0.379  0.323  0.191
Si  0.344  0.421  0.454
Si  0.700  0.825  0.413
Si  0.912  0.319  0.001
Si  0.863  0.804  0.230
Si  0.764  0.814  0.905
Si  0.980  0.942  0.510

An optimized crystal structure of ErAl5, computed with GGA-PBE.

Unit cell a=4.375 b=5.488 c=5.488 alpha=120.00 beta=90.00 gamma=90.00
Sites, in units of the cell vectors:
Er  0.500  0.000  0.000
Al  0.500  0.333  0.667
Al  0.000  0.000  0.498
Al  0.000  0.502  0.502
Al  0.000  0.498  0.000
Al  0.500  0.667  0.333

An optimized crystal structure of PuHf2Pd, computed with GGA-PBE.

Unit cell a=3.050 b=3.050 c=10.780 alpha=81.87 beta=81.87 gamma=60.00
Sites, in units of the cell vectors:
Hf  0.096  0.096  0.713
Hf  0.904  0.904  0.287
Pd  0.500  0.500  0.500
Pu  0.000  0.000  0.000

no.,V (A^3/atom),electronic total energy (eV per atom)
1,19.94,-3.171
2,19.02,-4.037
3,21.42,-9.743